(1)
Here is Y2NbReS after structural relaxation from Alexandria. Energies are from GGA-PBE.

Geometry as POSCAR:
```
Y2NbReS
1.0
5.1864 0.0000 0.0000
0.0000 4.3151 0.0000
0.0000 0.0000 5.1864
Y Re Nb S
2 1 1 1
Cartesian
0.0000 0.0000 2.5932
2.5932 0.0000 0.0000
0.0000 2.1576 0.0000
2.5932 2.1576 2.5932
0.0000 0.0000 0.0000
```

Results
* magnetization: 2.1 μB/f.u.
* symmetry: P4/mmm (123)
* raw formation energy: 0.12 eV/atom
* calculated volume: 116.1 Å³/cell

=====

(2)
Here is Nb2ReSb2 after structural relaxation from Alexandria. Energies are from GGA-PBE.

Geometry as POSCAR:
```
Nb2ReSb2
1.0
-0.3802 4.2177 5.9003
-7.1063 0.9646 -1.1474
-0.7583 -3.0505 2.1318
Re Nb Sb
2 4 4
Cartesian
0.0000 0.0000 0.0000
-3.7433 2.5912 2.3764
-6.2214 2.3293 1.1202
-4.8992 4.2329 4.3145
-1.2651 2.8531 3.6326
-2.5873 0.9495 0.4383
-5.1410 -0.2062 1.2595
-6.5896 2.0735 4.0065
-3.1038 2.3381 5.6251
-1.6552 0.0584 2.8781
```

Results
* magnetization: 0.0 μB/f.u.
* energy above the lowest structure with this stoichiometry: 0.0000 eV/atom
* symmetry: P4/mbm (127)
* raw formation energy: 0.46 eV/atom
* calculated volume: 200.3 Å³/cell

=====

(3)
Here is NbRe2Sb after structural relaxation from Alexandria. Energies are from GGA-PBE.

Geometry as POSCAR:
```
NbRe2Sb
1.0
-2.3713 -2.8751 1.3165
2.8094 -2.6708 -0.7726
3.8432 -1.5940 9.3749
Re Nb Sb
4 2 2
Cartesian
-0.0334 -2.3636 2.9941
2.2836 -2.5928 2.1013
3.2086 -3.4291 7.1906
3.1038 -5.8943 7.5516
0.2190 -2.7730 0.2719
3.4358 -3.5189 4.4371
0.0000 0.0000 0.0000
0.8455 -3.6210 5.4817
```

Results
* magnetization: 0.0 μB/f.u.
* symmetry: I-42d (122)
* raw formation energy: 0.79 eV/atom
* calculated volume: 154.2 Å³/cell

=====

(4)
Here is Nb2ReSb2 after structural relaxation from Alexandria. Energies are from GGA-PBE.

Geometry as POSCAR:
```
Nb2ReSb2
1.0
-2.2627 -1.9408 2.5103
0.9726 -3.3590 -1.7202
4.8362 -3.3255 4.8134
Re Nb Sb
1 2 2
Cartesian
0.0000 0.0000 0.0000
0.3393 -2.7712 1.1885
3.2068 -5.8540 4.4149
0.9642 -3.9581 3.8593
2.5819 -4.6672 1.7441
```

Results
* magnetization: 0.7 μB/f.u.
* energy above the lowest structure with this stoichiometry: 0.3808 eV/atom
* symmetry: I4/mmm (139)
* raw formation energy: 0.84 eV/atom
* calculated volume: 107.4 Å³/cell

=====

(5)
Here is TaNbRe2Sb after structural relaxation from Alexandria. Energies are from GGA-PBE.

Geometry as POSCAR:
```
TaNbRe2Sb
1.0
4.7632 0.0000 0.0000
0.0000 4.8608 0.0000
0.0000 0.0000 4.7632
Re Nb Sb Ta
2 1 1 1
Cartesian
0.0000 0.0000 2.3816
2.3816 0.0000 0.0000
0.0000 2.4304 0.0000
0.0000 0.0000 0.0000
2.3816 2.4304 2.3816
```

Results
* magnetization: 0.0 μB/f.u.
* symmetry: P4/mmm (123)
* raw formation energy: 2.15 eV/atom
* calculated volume: 110.3 Å³/cell

=====

(6)
Here is Sc3NbRe after structural relaxation from Alexandria. Energies are from GGA-PBE.

Geometry as POSCAR:
```
Sc3NbRe
1.0
-4.4732 0.4304 2.0993
-1.9428 -2.8653 -3.5522
0.9044 -4.0258 2.7526
Sc Re Nb
3 1 1
Cartesian
-0.9714 -1.4326 -1.7761
0.4522 -2.0129 1.3763
-2.2366 0.2152 1.0496
0.0000 0.0000 0.0000
-2.7558 -3.2303 0.6499
```

Results
* magnetization: 0.0 μB/f.u.
* energy above the lowest structure with this stoichiometry: 0.0000 eV/atom
* symmetry: Pm-3m (221)
* formation energy: 770 meV per atom
* calculated volume: 122.0 Å³/cell

=====

(7)
Here is ScNb2Re after structural relaxation from Alexandria. Energies are from GGA-PBE.

Geometry as POSCAR:
```
ScNb2Re
1.0
3.2024 0.0000 0.0000
0.0000 3.2024 0.0000
0.0000 0.0000 7.1544
Sc Re Nb
1 1 2
Cartesian
1.6012 1.6012 3.5772
1.6012 1.6012 0.0000
0.0000 0.0000 5.5888
0.0000 0.0000 1.5656
```

Results
* magnetization: 0.0 μB/f.u.
* energy above the lowest structure with this stoichiometry: 0.0090 eV/atom
* symmetry: P4/mmm (123)
* formation energy: -21 meV per atom
* calculated volume: 73.4 Å³/cell

=====

(8)
Here is ScNbRe3 after structural relaxation from Alexandria. Energies are from GGA-PBE.

Geometry as POSCAR:
```
ScNbRe3
1.0
4.7580 0.0000 0.0000
0.0000 4.7580 0.0000
0.0000 0.0000 4.7580
Sc Re Nb
1 3 1
Cartesian
2.3790 2.3790 2.3790
0.0000 2.3790 0.0000
0.0000 0.0000 2.3790
2.3790 0.0000 0.0000
0.0000 0.0000 0.0000
```

Results
* magnetization: 0.0 μB/f.u.
* energy above the lowest structure with this stoichiometry: 0.0000 eV/atom
* symmetry: Pm-3m (221)
* formation energy: 1740 meV per atom
* calculated volume: 107.7 Å³/cell